No. 1
The following is a PBE-GGA calculation of crystalline SmCu2Rh at its relaxed geometry, from Alexandria via LeMat-Bulk.

abc: 4.3065 4.3065 5.1681
angles: 65.38 65.38 60.00
Closest atoms and distances in Å follow each position.
Sites, in units of the cell vectors:
1 Rh 0.5000 0.5000 0.5000  6 Cu 2.54
2 Cu 0.7946 0.7946 0.6163  3 Rh 2.54, 3 Cu 2.70, 1 Sm 2.79
3 Cu 0.2054 0.2054 0.3837  3 Rh 2.54, 3 Cu 2.70, 1 Sm 2.79
4 Sm 0.0000 0.0000 0.0000  8 Cu 2.79-3.03

Polymorph energy (0 for the lowest one) in meV per atom: 0
Calculated density in g cm⁻³: 8.680
Formation energy from the elements in kJ/mol of atoms: -24.1

No. 2
The following is a PBE-GGA calculation of crystalline Sm3Cu3Rh at its relaxed geometry, from Alexandria via LeMat-Bulk.

abc: 3.9264 5.5284 14.5637
angles: 90.00 90.00 110.80
Closest atoms and distances in Å follow each position.
Sites, in units of the cell vectors:
1 Sm 0.1615 0.3231 0.9090  6 Cu 2.89-3.14, 2 Rh 2.90
2 Sm 0.8385 0.6769 0.0910  6 Cu 2.89-3.14, 2 Rh 2.90
3 Sm 0.1615 0.3231 0.5910  6 Cu 2.89-3.14, 2 Rh 2.90
4 Sm 0.8385 0.6769 0.4090  6 Cu 2.89-3.14, 2 Rh 2.90
5 Sm 0.4451 0.8901 0.7500  7 Cu 2.91-3.02
6 Sm 0.5549 0.1099 0.2500  7 Cu 2.91-3.02
7 Cu 0.8827 0.7654 0.8949  1 Cu 2.59, 2 Rh 2.77, 2 Sm 2.89
8 Cu 0.1173 0.2346 0.1051  1 Cu 2.59, 2 Rh 2.77, 2 Sm 2.89
9 Cu 0.8827 0.7654 0.6051  1 Cu 2.59, 2 Rh 2.77, 2 Sm 2.89
10 Cu 0.1173 0.2346 0.3949  1 Cu 2.59, 2 Rh 2.77, 2 Sm 2.89
11 Cu 0.7375 0.4750 0.7500  2 Cu 2.59
12 Cu 0.2625 0.5250 0.2500  2 Cu 2.59
13 Rh 0.5000 0.0000 0.0000  4 Cu 2.77, 4 Sm 2.90
14 Rh 0.5000 0.0000 0.5000  4 Cu 2.77, 4 Sm 2.90

Calculated density in g cm⁻³: 8.368
Formation energy from the elements in kJ/mol of atoms: -32.9

No. 3
The following is a PBE-GGA calculation of crystalline Sm5CuRh4 at its relaxed geometry, from Alexandria via LeMat-Bulk.

abc: 3.5138 3.5138 17.6181
angles: 90.00 90.00 90.00
Closest atoms and distances in Å follow each position.
Sites, in units of the cell vectors:
1 Sm 0.5000 0.5000 0.1048  4 Rh 3.00, 4 Cu 3.10
2 Sm 0.5000 0.5000 0.3013  8 Rh 3.04-3.05
3 Sm 0.5000 0.5000 0.5000  8 Rh 3.04
4 Sm 0.5000 0.5000 0.6987  8 Rh 3.04-3.05
5 Sm 0.5000 0.5000 0.8952  4 Rh 3.00, 4 Cu 3.10
6 Cu 0.0000 0.0000 0.0000  8 Sm 3.10
7 Rh 0.0000 0.0000 0.2006  8 Sm 3.00-3.05
8 Rh 0.0000 0.0000 0.4004  8 Sm 3.04
9 Rh 0.0000 0.0000 0.5996  8 Sm 3.04
10 Rh 0.0000 0.0000 0.7994  8 Sm 3.00-3.05

Calculated density in g cm⁻³: 9.366
Formation energy from the elements in kJ/mol of atoms: -59.3

No. 4
The following is a PBE-GGA calculation of crystalline Sm2CuRh at its relaxed geometry, from Alexandria via LeMat-Bulk.

abc: 3.5565 4.9569 4.9569
angles: 90.00 90.00 90.00
Closest atoms and distances in Å follow each position.
Sites, in units of the cell vectors:
1 Rh 0.5000 0.5000 0.5000  8 Sm 3.05
2 Cu 0.5000 0.0000 0.0000  8 Sm 3.05
3 Sm 0.0000 0.0000 0.5000  4 Rh 3.05, 4 Cu 3.05
4 Sm 0.0000 0.5000 0.0000  4 Rh 3.05, 4 Cu 3.05

Calculated density in g cm⁻³: 8.878
Formation energy from the elements in kJ/mol of atoms: -44.2